[1]
## PuHf2FeN4 (PBE)

Data for a relaxed structure of PuHf2FeN4.

a = 3.221 Å, b = 10.829 Å, c = 11.049 Å
α = 90.00°, β = 90.00°, γ = 90.00°
Space group Cmcm (No. 63)
Unique sites:
Pu 0.000 0.105 0.250 (multiplicity 4)
Hf 0.000 0.368 0.053 (multiplicity 8)
Fe 0.000 0.158 0.750 (multiplicity 4)
N 0.000 0.000 0.000 (multiplicity 4)
N 0.000 0.269 0.614 (multiplicity 8)
N 0.000 0.449 0.250 (multiplicity 4)

## Properties
**Formation energy from raw total energies**: -10.42 eV/f.u.
**Total magnetic moment**: 2.034 μB per formula unit
**Density of states at the Fermi level**: 24.28 states/eV/cell

---

[2]
## TaReTc2 (PBE)

Data for a relaxed structure of TaReTc2.

a = 7.173 Å, b = 7.173 Å, c = 5.266 Å
α = 90.00°, β = 90.00°, γ = 90.00°
Space group I-42d (No. 122)
Unique sites:
Ta 0.000 0.000 0.000 (multiplicity 4)
Re 0.000 0.000 0.500 (multiplicity 4)
Tc 0.232 0.250 0.625 (multiplicity 8)

## Properties
**ΔE to the lowest computed polymorph**: 732 meV per atom
**Total magnetic moment**: 0.000 μB per formula unit
**Density of states at the Fermi level**: 17.07 states/eV/cell
**Energy relative to the elements**: 0.65 eV/atom

---

Copy entry 2 word for word.
## TaReTc2 (PBE)

Data for a relaxed structure of TaReTc2.

a = 7.173 Å, b = 7.173 Å, c = 5.266 Å
α = 90.00°, β = 90.00°, γ = 90.00°
Space group I-42d (No. 122)
Unique sites:
Ta 0.000 0.000 0.000 (multiplicity 4)
Re 0.000 0.000 0.500 (multiplicity 4)
Tc 0.232 0.250 0.625 (multiplicity 8)

## Properties
**ΔE to the lowest computed polymorph**: 732 meV per atom
**Total magnetic moment**: 0.000 μB per formula unit
**Density of states at the Fermi level**: 17.07 states/eV/cell
**Energy relative to the elements**: 0.65 eV/atom

---

Among the records above, which one has the lowest total magnetic moment? TaReTc2